Ag2RhAu: relaxed, PBE-GGA.

## Properties
- ΔH_f (0 K): 0.412 eV/atom

Cell lengths 3.8827, 3.8827, 19.6399 Å; angles 90.00, 90.00, 90.00 degrees
Fractional positions:
Ag: 0.2482 0.2500 0.1250
Ag: 0.2500 0.7482 0.3750
Ag: 0.2500 0.7518 0.8750
Ag: 0.2518 0.2500 0.6250
Ag: 0.7482 0.7500 0.6250
Ag: 0.7500 0.2482 0.8750
Ag: 0.7500 0.2518 0.3750
Ag: 0.7518 0.7500 0.1250
Rh: 0.0000 0.0000 0.0000
Rh: 0.0000 0.5000 0.2500
Rh: 0.5000 0.0000 0.7500
Rh: 0.5000 0.5000 0.5000
Au: 0.0000 0.0000 0.5000
Au: 0.0000 0.5000 0.7500
Au: 0.5000 0.0000 0.2500
Au: 0.5000 0.5000 0.0000